CoPBr2 | PBE-GGA | relaxed

The calculation puts the density at 5.48 g/cm³. For the uncorrected formation energy, the calculation gives 91.32 kJ/mol of atoms.

a b c (Å): 4.8145 4.8145 3.2620
angles (deg): 90.00 90.00 89.93
Site moments in Bohr magnetons follow the coordinates.
Fractional coordinates of all 4 atoms:
Br  0.0000  0.0000  0.0000  0.06
Br  0.5000  0.5000  0.0000  0.06
P  0.0000  0.5000  0.5000  0.07
Co  0.5000  0.0000  0.5000  1.96